No. 1
DFT (PBE-GGA) results for a relaxed TaTlRh crystal.

a b c (Å): 4.623 4.623 2.914
angles (deg): 90.00 90.00 120.00
Element x y z (fractional)
Ta 0.667 0.333 0.333
Tl 0.333 0.667 0.833
Rh 0.000 0.000 0.834

Values from the calculation:
V, Å³/f.u.: 54
Raw total energy, eV/atom: -6.998
Formation enthalpy at 0 K, eV per atom: 0.192
Spin magnetization, μB/cell: 0.00
SG: P-6m2 (187)

No. 2
DFT (PBE-GGA) results for a relaxed LaPRhN crystal.

a b c (Å): 3.944 3.944 8.245
angles (deg): 90.00 90.00 90.00
Element x y z (fractional)
La 0.000 0.500 0.838
La 0.500 0.000 0.162
P 0.000 0.500 0.341
P 0.500 0.000 0.659
Rh 0.000 0.000 0.500
Rh 0.500 0.500 0.500
N 0.500 0.000 0.864
N 0.000 0.500 0.136

Values from the calculation:
V, Å³/f.u.: 64
Formation energy from raw total energies, eV per formula unit: -4.96
Raw total energy, eV/atom: -7.744
Spin magnetization, μB/cell: 0.00
SG: P4/nmm (129)

No. 3
DFT (PBE-GGA) results for a relaxed ZnInPPt crystal.

a b c (Å): 3.451 4.053 6.131
angles (deg): 108.85 105.77 90.42
Element x y z (fractional)
Zn 0.359 0.228 0.196
In 0.704 0.574 0.894
P 0.475 0.840 0.424
Pt 0.117 0.986 0.716

Values from the calculation:
Offset from the most stable computed form, meV per atom: 5
V, Å³/f.u.: 78
Raw total energy, eV/atom: -4.086
Formation enthalpy at 0 K, eV per atom: -0.220
Spin magnetization, μB/cell: 0.00
SG: P1 (1)

No. 4
DFT (PBE-GGA) results for a relaxed TiNiSnRh crystal.

a b c (Å): 4.163 4.163 4.602
angles (deg): 116.89 116.89 90.00
Last column: magnetic moment on the atom in μB.
Element x y z (fractional)
Ti 0.250 0.750 0.500  0.21
Ni 0.000 0.000 0.000  0.40
Sn 0.750 0.250 0.500  0.03
Rh 0.500 0.500 0.000  0.18

Values from the calculation:
V, Å³/f.u.: 61
Raw total energy, eV/atom: -6.792
Formation enthalpy at 0 K, eV per atom: -0.535
Spin magnetization, μB/cell: 0.86
SG: I-4m2 (119)

No. 5
DFT (PBE-GGA) results for a relaxed AlVBr3 crystal.

a b c (Å): 5.221 5.221 5.221
angles (deg): 90.00 90.00 90.00
Last column: magnetic moment on the atom in μB.
Element x y z (fractional)
Al 0.500 0.500 0.500  0.01
Br 0.000 0.500 0.000  0.00
Br 0.000 0.000 0.500  0.00
Br 0.500 0.000 0.000  0.00
V 0.000 0.000 0.000  2.58

Values from the calculation:
Offset from the most stable computed form, meV per atom: 0
V, Å³/f.u.: 142
Formation energy from raw total energies, eV per formula unit: -1.80
Raw total energy, eV/atom: -3.935
Spin magnetization, μB/cell: 3.00
SG: Pm-3m (221)

No. 6
DFT (PBE-GGA) results for a relaxed CaIn2Pb6 crystal.

a b c (Å): 5.769 6.360 10.029
angles (deg): 119.48 90.00 116.97
Element x y z (fractional)
Ca 0.000 0.000 0.500
In 0.339 0.679 0.855
In 0.661 0.321 0.145
Pb 0.011 0.023 0.847
Pb 0.340 0.680 0.190
Pb 0.660 0.320 0.810
Pb 0.320 0.640 0.513
Pb 0.680 0.360 0.487
Pb 0.989 0.977 0.153

Values from the calculation:
V, Å³/f.u.: 273
Raw total energy, eV/atom: -3.393
Formation enthalpy at 0 K, eV per atom: -0.089
Spin magnetization, μB/cell: 0.00
SG: C2/m (12)

No. 7
DFT (PBE-GGA) results for a relaxed ZrInRu3 crystal.

a b c (Å): 4.809 4.809 4.809
angles (deg): 90.00 90.00 90.00
Last column: magnetic moment on the atom in μB.
Element x y z (fractional)
Ru 0.000 0.500 0.000  1.05
Ru 0.000 0.000 0.500  1.20
Ru 0.500 0.000 0.000  0.79
Zr 0.000 0.000 0.000  -0.16
In 0.500 0.500 0.500  -0.02

Values from the calculation:
Offset from the most stable computed form, meV per atom: 0
V, Å³/f.u.: 111
Raw total energy, eV/atom: -6.454
Formation enthalpy at 0 K, eV per atom: 1.369
Spin magnetization, μB/cell: 2.94
SG: Pm-3m (221)

No. 8
DFT (PBE-GGA) results for a relaxed K2Sc2TaS6 crystal.

a b c (Å): 6.352 6.352 7.878
angles (deg): 98.01 98.01 119.80
Element x y z (fractional)
K 0.830 0.170 0.000
K 0.170 0.830 0.000
Sc 0.333 0.667 0.500
Sc 0.667 0.333 0.500
Ta 0.000 0.000 0.500
S 0.743 0.743 0.690
S 0.067 0.387 0.691
S 0.257 0.257 0.310
S 0.387 0.067 0.691
S 0.933 0.613 0.309
S 0.613 0.933 0.309

Values from the calculation:
V, Å³/f.u.: 265
Formation energy from raw total energies, eV per formula unit: -16.85
Raw total energy, eV/atom: -6.212
Spin magnetization, μB/cell: 0.00
SG: C2/m (12)

No. 9
DFT (PBE-GGA) results for a relaxed Co2MoAs crystal.

a b c (Å): 5.262 5.262 6.401
angles (deg): 65.73 65.73 90.00
Element x y z (fractional)
Mo 0.000 0.000 0.000
Mo 0.750 0.250 0.500
Co 0.616 0.125 0.250
Co 0.134 0.625 0.250
Co 0.375 0.384 0.750
Co 0.875 0.866 0.750
As 0.500 0.500 0.000
As 0.250 0.750 0.500

Values from the calculation:
V, Å³/f.u.: 72
Raw total energy, eV/atom: -6.721
Formation enthalpy at 0 K, eV per atom: 0.702
Spin magnetization, μB/cell: 0.00
SG: I-42d (122)

No. 10
DFT (PBE-GGA) results for a relaxed LaCr2Ru crystal.

a b c (Å): 2.862 2.862 8.775
angles (deg): 90.00 90.00 114.83
Element x y z (fractional)
Cr 0.000 0.000 0.014
Cr 0.500 0.500 0.198
La 0.000 0.000 0.500
Ru 0.500 0.500 0.788

Values from the calculation:
Offset from the most stable computed form, meV per atom: 252
V, Å³/f.u.: 65
Raw total energy, eV/atom: -7.798
Formation enthalpy at 0 K, eV per atom: 0.564
Spin magnetization, μB/cell: 0.00
SG: Cmm2 (35)

No. 11
DFT (PBE-GGA) results for a relaxed TlS2Cl crystal.

a b c (Å): 4.879 4.879 4.879
angles (deg): 60.00 60.00 60.00
Element x y z (fractional)
Tl 0.500 0.500 0.500
S 0.250 0.250 0.250
S 0.750 0.750 0.750
Cl 0.000 0.000 0.000

Values from the calculation:
Offset from the most stable computed form, meV per atom: 852
V, Å³/f.u.: 82
Formation energy from raw total energies, eV per formula unit: 2.35
Raw total energy, eV/atom: -2.529
Spin magnetization, μB/cell: 0.00
SG: Fm-3m (225)

No. 12
DFT (PBE-GGA) results for a relaxed V3SiNi2 crystal.

a b c (Å): 7.520 7.520 7.520
angles (deg): 60.00 60.00 60.00
Element x y z (fractional)
V 0.699 0.301 0.301
V 0.301 0.699 0.699
V 0.301 0.301 0.699
V 0.699 0.699 0.301
V 0.301 0.699 0.301
V 0.699 0.301 0.699
V 0.551 0.949 0.949
V 0.949 0.551 0.551
V 0.949 0.949 0.551
V 0.551 0.551 0.949
V 0.949 0.551 0.949
V 0.551 0.949 0.551
Si 0.125 0.625 0.125
Si 0.125 0.125 0.625
Si 0.625 0.125 0.125
Si 0.125 0.125 0.125
Ni 0.913 0.260 0.913
Ni 0.913 0.913 0.260
Ni 0.260 0.913 0.913
Ni 0.913 0.913 0.913
Ni 0.337 0.990 0.337
Ni 0.337 0.337 0.990
Ni 0.990 0.337 0.337
Ni 0.337 0.337 0.337

Values from the calculation:
V, Å³/f.u.: 75
Formation energy from raw total energies, eV per formula unit: -1.78
Raw total energy, eV/atom: -7.688
Spin magnetization, μB/cell: 0.00
SG: Fd-3m (227)